DFT (GGA+U) results for a relaxed SrLiCoO3 crystal.

Unit cell a=8.8208 b=6.4494 c=6.3242 alpha=90.00 beta=113.86 gamma=90.00
Space group C2/m (No. 12)
One atom of each set of equivalent atoms:
1 Sr 0.1981 0.0000 0.1433 x4
2 Li 0.0000 0.1682 0.5000 x4
3 Co 0.0790 0.5000 0.2655 x4
4 O 0.0515 0.2733 0.8084 x8
5 O 0.2083 0.0000 0.5561 x4

Summary:
- E_tot: -5.656 eV per atom